Sc2NiPtN | GGA-PBE | relaxed

a b c (Å): 4.4318 4.4318 3.6989
angles (deg): 90.00 90.00 90.00
With the nearest neighbours (Å) after each atom.
Positions (direct):
1 N 0.0000 0.0000 0.0000  2 Ni 1.85
2 Pt 0.5000 0.5000 0.5000  8 Sc 2.89, 4 Ni 3.13
3 Ni 0.0000 0.0000 0.5000  2 N 1.85
4 Sc 0.5000 0.0000 0.0000  2 N 2.22
5 Sc 0.0000 0.5000 0.0000  2 N 2.22

ΔE_f (raw): -1.11 eV per atom
Space group: P4/mmm
Magnetization: 0.00 μB/cell

ScNi2PtN | GGA-PBE | relaxed

a b c (Å): 3.8310 3.8310 4.2889
angles (deg): 90.00 90.00 90.00
With the nearest neighbours (Å) after each atom.
Positions (direct):
1 N 0.0000 0.0000 0.0000  4 Ni 1.92, 2 Sc 2.14
2 Sc 0.0000 0.0000 0.5000  2 N 2.14
3 Ni 0.5000 0.0000 0.0000  2 N 1.92
4 Pt 0.5000 0.5000 0.5000  4 Sc 2.71, 8 Ni 2.88
5 Ni 0.0000 0.5000 0.0000  2 N 1.92

ΔE_f (raw): -0.59 eV per atom
Space group: P4/mmm
Magnetization: 0.00 μB/cell

NiPt2SeN | GGA-PBE | relaxed

a b c (Å): 3.9684 3.9684 4.9701
angles (deg): 90.00 90.00 90.00
With the nearest neighbours (Å) after each atom.
Positions (direct):
1 Pt 0.5000 0.0000 0.0000  2 N 1.98
2 Ni 0.5000 0.5000 0.5000  4 Se 2.81
3 N 0.0000 0.0000 0.0000  4 Pt 1.98
4 Pt 0.0000 0.5000 0.0000  2 N 1.98
5 Se 0.0000 0.0000 0.5000  2 N 2.49

ΔE_f (raw): 0.82 eV per atom
Space group: P4/mmm
Magnetization: 0.15 μB/cell

NiPtSeN2 | GGA-PBE | relaxed

a b c (Å): 3.5187 3.5187 7.2076
angles (deg): 90.00 90.00 90.00
With the nearest neighbours (Å) after each atom.
Positions (direct):
1 Pt 0.5000 0.5000 0.5000  4 Se 2.49
2 Se 0.0000 0.0000 0.5000  4 Pt 2.49
3 Ni 0.0000 0.0000 0.0000  4 N 1.76
4 N 0.0000 0.5000 0.0000  2 Ni 1.76
5 N 0.5000 0.0000 0.0000  2 Ni 1.76

ΔE_f (raw): 1.23 eV per atom
Space group: P4/mmm
Magnetization: 0.00 μB/cell
Polymorph energy (0 for the lowest one): 0.01 eV per formula unit